Record 1
Ho3Cd8Ag3 after structural relaxation, computed with PBE-GGA.

Cell: 8.539 8.539 8.539 Å, 147.18 103.89 85.39°
Atoms (fractional coordinates):
Ho (0.000, 0.000, 0.000)
Ho (0.288, 0.288, 0.000)
Ho (0.712, 0.712, 0.000)
Cd (0.006, 0.638, 0.368)
Cd (0.143, 0.862, 0.280)
Cd (0.271, 0.638, 0.632)
Cd (0.418, 0.138, 0.280)
Cd (0.582, 0.862, 0.720)
Cd (0.729, 0.362, 0.368)
Cd (0.857, 0.138, 0.720)
Cd (0.994, 0.362, 0.632)
Ag (0.352, 0.500, 0.852)
Ag (0.500, 0.000, 0.500)
Ag (0.648, 0.500, 0.148)

Density of states at the Fermi level: 9.49 states/eV per cell
Energy of formation: -0.1945 eV/atom

Record 2
Al2SbOs after structural relaxation, computed with PBE-GGA.

Cell: 3.163 3.163 25.216 Å, 90.00 90.00 120.00°
Atoms (fractional coordinates):
Al (0.000, 0.000, 0.000)
Al (0.000, 0.000, 0.247)
Al (0.333, 0.667, 0.667)
Al (0.333, 0.667, 0.914)
Al (0.667, 0.333, 0.333)
Al (0.667, 0.333, 0.581)
Sb (0.000, 0.000, 0.485)
Sb (0.333, 0.667, 0.152)
Sb (0.667, 0.333, 0.818)
Os (0.000, 0.000, 0.739)
Os (0.333, 0.667, 0.406)
Os (0.667, 0.333, 0.072)

Density of states at the Fermi level: 7.57 states/eV per cell
Formation energy (no corrections): 225 meV per atom

Record 3
AlIr2BrN after structural relaxation, computed with PBE-GGA.

Cell: 4.589 4.589 4.886 Å, 90.00 90.00 90.00°
Atoms (fractional coordinates):
Al (0.000, 0.000, 0.000)
Ir (0.000, 0.500, 0.500)
Ir (0.500, 0.000, 0.500)
Br (0.000, 0.000, 0.500)
N (0.500, 0.500, 0.000)

Density of states at the Fermi level: 9.29 states/eV per cell
Formation energy (no corrections): 2732 meV per atom

Record 4
FeMoSN2 after structural relaxation, computed with PBE-GGA.

Cell: 3.620 3.620 4.620 Å, 90.00 90.00 90.00°
Atoms (fractional coordinates):
Fe (0.000, 0.000, 0.000)
Mo (0.500, 0.500, 0.500)
S (0.000, 0.000, 0.500)
N (0.000, 0.500, 0.000)
N (0.500, 0.000, 0.000)

Energy relative to the lowest polymorph listed for this composition: 327.5 meV/atom
Density of states at the Fermi level: 3.15 states/eV per cell
Formation energy (no corrections): 933 meV per atom

Record 5
TaFeBi2Cl after structural relaxation, computed with PBE-GGA.

Cell: 5.521 5.521 4.432 Å, 90.00 90.00 90.00°
Atoms (fractional coordinates):
Ta (0.000, 0.000, 0.000)
Fe (0.500, 0.500, 0.000)
Bi (0.000, 0.500, 0.500)
Bi (0.500, 0.000, 0.500)
Cl (0.000, 0.000, 0.500)

Density of states at the Fermi level: 4.78 states/eV per cell
Formation energy (no corrections): 1358 meV per atom

Record 6
Nb2BMo after structural relaxation, computed with PBE-GGA.

Cell: 7.530 7.530 4.531 Å, 90.00 90.00 90.00°
Atoms (fractional coordinates):
Nb (0.143, 0.250, 0.125)
Nb (0.250, 0.643, 0.375)
Nb (0.250, 0.857, 0.875)
Nb (0.357, 0.250, 0.625)
Nb (0.643, 0.750, 0.625)
Nb (0.750, 0.143, 0.875)
Nb (0.750, 0.357, 0.375)
Nb (0.857, 0.750, 0.125)
B (0.000, 0.000, 0.000)
B (0.000, 0.500, 0.250)
B (0.500, 0.000, 0.750)
B (0.500, 0.500, 0.500)
Mo (0.000, 0.000, 0.500)
Mo (0.000, 0.500, 0.750)
Mo (0.500, 0.000, 0.250)
Mo (0.500, 0.500, 0.000)

Density of states at the Fermi level: 16.33 states/eV per cell
Energy of formation: 0.2783 eV/atom

Record 7
NdAg4 after structural relaxation, computed with PBE-GGA.

Cell: 5.824 5.833 7.177 Å, 90.00 113.69 90.00°
Atoms (fractional coordinates):
Nd (0.000, 0.000, 0.000)
Nd (0.500, 0.500, 0.000)
Ag (0.000, 0.249, 0.500)
Ag (0.000, 0.751, 0.500)
Ag (0.103, 0.500, 0.207)
Ag (0.397, 0.000, 0.793)
Ag (0.500, 0.251, 0.500)
Ag (0.500, 0.749, 0.500)
Ag (0.603, 0.000, 0.207)
Ag (0.897, 0.500, 0.793)

Density of states at the Fermi level: 5.25 states/eV per cell
Energy of formation: -0.0998 eV/atom

Record 8
InGeO3 after structural relaxation, computed with PBE-GGA.

Cell: 3.790 3.790 3.790 Å, 90.00 90.00 90.00°
Atoms (fractional coordinates):
In (0.000, 0.000, 0.000)
Ge (0.500, 0.500, 0.500)
O (0.000, 0.500, 0.500)
O (0.500, 0.000, 0.500)
O (0.500, 0.500, 0.000)

Density of states at the Fermi level: 1.23 states/eV per cell
Formation energy (no corrections): -1106 meV per atom

Record 9
Cs4ZnHg2As2 after structural relaxation, computed with PBE-GGA.

Cell: 8.035 8.035 6.180 Å, 91.26 91.26 75.56°
Atoms (fractional coordinates):
Cs (0.124, 0.625, 0.805)
Cs (0.375, 0.876, 0.195)
Cs (0.625, 0.124, 0.805)
Cs (0.876, 0.375, 0.195)
Zn (0.500, 0.500, 0.500)
Hg (0.153, 0.153, 0.659)
Hg (0.847, 0.847, 0.341)
As (0.335, 0.335, 0.323)
As (0.665, 0.665, 0.677)

Energy of formation: -0.3333 eV/atom

Record 10
CeCo6Ge6 after structural relaxation, computed with PBE-GGA.

Cell: 6.462 6.462 6.462 Å, 133.46 104.16 93.87°
Atoms (fractional coordinates):
Ce (0.000, 0.000, 0.000)
Co (0.000, 0.000, 0.500)
Co (0.000, 0.500, 0.000)
Co (0.252, 0.500, 0.752)
Co (0.500, 0.000, 0.000)
Co (0.500, 0.500, 0.500)
Co (0.748, 0.500, 0.248)
Ge (0.172, 0.672, 0.500)
Ge (0.338, 0.338, 0.000)
Ge (0.346, 0.000, 0.346)
Ge (0.654, 0.000, 0.654)
Ge (0.662, 0.662, 0.000)
Ge (0.828, 0.328, 0.500)

Density of states at the Fermi level: 9.43 states/eV per cell
Energy of formation: -0.3137 eV/atom

Record 11
CaCdSn after structural relaxation, computed with PBE-GGA.

Cell: 7.723 4.728 13.337 Å, 90.00 90.29 90.00°
Atoms (fractional coordinates):
Ca (0.014, 0.250, 0.203)
Ca (0.336, 0.750, 0.584)
Ca (0.479, 0.750, 0.876)
Ca (0.521, 0.250, 0.124)
Ca (0.664, 0.250, 0.416)
Ca (0.986, 0.750, 0.797)
Cd (0.008, 0.250, 0.596)
Cd (0.152, 0.250, 0.958)
Cd (0.352, 0.750, 0.292)
Cd (0.648, 0.250, 0.708)
Cd (0.848, 0.750, 0.042)
Cd (0.992, 0.750, 0.404)
Sn (0.240, 0.750, 0.079)
Sn (0.245, 0.250, 0.415)
Sn (0.274, 0.250, 0.752)
Sn (0.726, 0.750, 0.248)
Sn (0.755, 0.750, 0.585)
Sn (0.760, 0.250, 0.921)

Density of states at the Fermi level: 2.57 states/eV per cell
Energy of formation: -0.4969 eV/atom

Record 12
RbBaSr2 after structural relaxation, computed with PBE-GGA.

Cell: 11.049 11.049 8.351 Å, 90.00 90.00 90.00°
Atoms (fractional coordinates):
Rb (0.000, 0.000, 0.000)
Rb (0.000, 0.500, 0.250)
Rb (0.500, 0.000, 0.750)
Rb (0.500, 0.500, 0.500)
Ba (0.000, 0.000, 0.500)
Ba (0.000, 0.500, 0.750)
Ba (0.500, 0.000, 0.250)
Ba (0.500, 0.500, 0.000)
Sr (0.242, 0.250, 0.125)
Sr (0.250, 0.742, 0.375)
Sr (0.250, 0.758, 0.875)
Sr (0.258, 0.250, 0.625)
Sr (0.742, 0.750, 0.625)
Sr (0.750, 0.242, 0.875)
Sr (0.750, 0.258, 0.375)
Sr (0.758, 0.750, 0.125)

Energy relative to the lowest polymorph listed for this composition: 238.5 meV/atom
Density of states at the Fermi level: 24.88 states/eV per cell
Energy of formation: 0.3101 eV/atom

Record 13
Ac8Ge2Ru after structural relaxation, computed with PBE-GGA.

Cell: 11.860 11.860 8.226 Å, 94.65 94.65 21.53°
Atoms (fractional coordinates):
Ac (0.008, 0.008, 0.232)
Ac (0.234, 0.234, 0.704)
Ac (0.372, 0.372, 0.965)
Ac (0.398, 0.398, 0.459)
Ac (0.602, 0.602, 0.541)
Ac (0.628, 0.628, 0.035)
Ac (0.766, 0.766, 0.296)
Ac (0.992, 0.992, 0.768)
Ge (0.165, 0.165, 0.337)
Ge (0.835, 0.835, 0.663)
Ru (0.500, 0.500, 0.000)

Density of states at the Fermi level: 11.20 states/eV per cell
Energy of formation: -0.2992 eV/atom

Record 14
Ca2HgBr after structural relaxation, computed with PBE-GGA.

Cell: 8.087 8.087 8.087 Å, 90.00 90.00 90.00°
Atoms (fractional coordinates):
Ca (0.000, 0.000, 0.000)
Ca (0.000, 0.500, 0.500)
Ca (0.250, 0.250, 0.250)
Ca (0.250, 0.750, 0.750)
Ca (0.500, 0.000, 0.500)
Ca (0.500, 0.500, 0.000)
Ca (0.750, 0.250, 0.750)
Ca (0.750, 0.750, 0.250)
Hg (0.250, 0.250, 0.750)
Hg (0.250, 0.750, 0.250)
Hg (0.750, 0.250, 0.250)
Hg (0.750, 0.750, 0.750)
Br (0.000, 0.000, 0.500)
Br (0.000, 0.500, 0.000)
Br (0.500, 0.000, 0.000)
Br (0.500, 0.500, 0.500)

Energy relative to the lowest polymorph listed for this composition: 654.0 meV/atom
Density of states at the Fermi level: 14.20 states/eV per cell
Formation energy (no corrections): -291 meV per atom

Record 15
SrPmNdCd after structural relaxation, computed with PBE-GGA.

Cell: 8.165 8.165 8.165 Å, 90.00 90.00 90.00°
Atoms (fractional coordinates):
Sr (0.000, 0.000, 0.000)
Sr (0.000, 0.500, 0.500)
Sr (0.500, 0.000, 0.500)
Sr (0.500, 0.500, 0.000)
Pm (0.250, 0.250, 0.250)
Pm (0.250, 0.750, 0.750)
Pm (0.750, 0.250, 0.750)
Pm (0.750, 0.750, 0.250)
Nd (0.000, 0.000, 0.500)
Nd (0.000, 0.500, 0.000)
Nd (0.500, 0.000, 0.000)
Nd (0.500, 0.500, 0.500)
Cd (0.250, 0.250, 0.750)
Cd (0.250, 0.750, 0.250)
Cd (0.750, 0.250, 0.250)
Cd (0.750, 0.750, 0.750)

Density of states at the Fermi level: 19.63 states/eV per cell
Energy of formation: 0.0831 eV/atom

Record 16
Li2FeSi after structural relaxation, computed with PBE-GGA.

Cell: 3.434 3.434 4.199 Å, 90.00 90.00 90.00°
Atoms (fractional coordinates):
Li (0.000, 0.500, 0.000)
Li (0.500, 0.000, 0.000)
Fe (0.000, 0.000, 0.500)
Si (0.500, 0.500, 0.500)

Density of states at the Fermi level: 2.32 states/eV per cell
Formation energy (no corrections): -54 meV per atom

Record 17
LiTlHgAs after structural relaxation, computed with PBE-GGA.

Cell: 7.230 7.230 7.230 Å, 90.00 90.00 90.00°
Atoms (fractional coordinates):
Li (0.000, 0.000, 0.000)
Li (0.000, 0.500, 0.500)
Li (0.500, 0.000, 0.500)
Li (0.500, 0.500, 0.000)
Tl (0.000, 0.000, 0.500)
Tl (0.000, 0.500, 0.000)
Tl (0.500, 0.000, 0.000)
Tl (0.500, 0.500, 0.500)
Hg (0.250, 0.250, 0.750)
Hg (0.250, 0.750, 0.250)
Hg (0.750, 0.250, 0.250)
Hg (0.750, 0.750, 0.750)
As (0.250, 0.250, 0.250)
As (0.250, 0.750, 0.750)
As (0.750, 0.250, 0.750)
As (0.750, 0.750, 0.250)

Density of states at the Fermi level: 15.52 states/eV per cell
Energy of formation: -0.0456 eV/atom

Record 18
ScCu after structural relaxation, computed with PBE-GGA.

Cell: 7.261 7.261 7.261 Å, 90.00 90.00 90.00°
Atoms (fractional coordinates):
Sc (0.000, 0.250, 0.500)
Sc (0.000, 0.750, 0.500)
Sc (0.250, 0.500, 0.000)
Sc (0.500, 0.000, 0.250)
Sc (0.500, 0.000, 0.750)
Sc (0.750, 0.500, 0.000)
Cu (0.000, 0.500, 0.250)
Cu (0.000, 0.500, 0.750)
Cu (0.250, 0.000, 0.500)
Cu (0.500, 0.250, 0.000)
Cu (0.500, 0.750, 0.000)
Cu (0.750, 0.000, 0.500)

Density of states at the Fermi level: 8.92 states/eV per cell
Energy of formation: 0.8250 eV/atom

Record 19
Pm10Ge3Bi3 after structural relaxation, computed with PBE-GGA.

Cell: 9.133 9.133 6.583 Å, 90.00 90.00 120.00°
Atoms (fractional coordinates):
Pm (0.000, 0.243, 0.000)
Pm (0.000, 0.756, 0.500)
Pm (0.243, 0.000, 0.000)
Pm (0.244, 0.244, 0.500)
Pm (0.333, 0.667, 0.261)
Pm (0.333, 0.667, 0.739)
Pm (0.667, 0.333, 0.261)
Pm (0.667, 0.333, 0.739)
Pm (0.756, 0.000, 0.500)
Pm (0.757, 0.757, 0.000)
Ge (0.000, 0.387, 0.500)
Ge (0.387, 0.000, 0.500)
Ge (0.613, 0.613, 0.500)
Bi (0.000, 0.606, 0.000)
Bi (0.394, 0.394, 0.000)
Bi (0.606, 0.000, 0.000)

Density of states at the Fermi level: 13.46 states/eV per cell
Energy of formation: -0.7260 eV/atom

Record 20
LaTi2Cu after structural relaxation, computed with PBE-GGA.

Cell: 6.633 6.633 6.633 Å, 90.00 90.00 90.00°
Atoms (fractional coordinates):
La (0.000, 0.000, 0.000)
La (0.000, 0.500, 0.500)
La (0.500, 0.000, 0.500)
La (0.500, 0.500, 0.000)
Ti (0.250, 0.250, 0.250)
Ti (0.250, 0.250, 0.750)
Ti (0.250, 0.750, 0.250)
Ti (0.250, 0.750, 0.750)
Ti (0.750, 0.250, 0.250)
Ti (0.750, 0.250, 0.750)
Ti (0.750, 0.750, 0.250)
Ti (0.750, 0.750, 0.750)
Cu (0.000, 0.000, 0.500)
Cu (0.000, 0.500, 0.000)
Cu (0.500, 0.000, 0.000)
Cu (0.500, 0.500, 0.500)

Energy relative to the lowest polymorph listed for this composition: 0.0 meV/atom
Density of states at the Fermi level: 21.52 states/eV per cell
Energy of formation: 0.3563 eV/atom

Record 21
Dy2Tm4Sc3 after structural relaxation, computed with PBE-GGA.

Cell: 9.496 9.496 5.988 Å, 93.89 93.89 72.07°
Atoms (fractional coordinates):
Dy (0.024, 0.738, 0.676)
Dy (0.262, 0.976, 0.824)
Dy (0.738, 0.024, 0.176)
Dy (0.976, 0.262, 0.324)
Tm (0.074, 0.357, 0.843)
Tm (0.310, 0.593, 0.990)
Tm (0.357, 0.074, 0.343)
Tm (0.407, 0.690, 0.510)
Tm (0.593, 0.310, 0.490)
Tm (0.643, 0.926, 0.657)
Tm (0.690, 0.407, 0.010)
Tm (0.926, 0.643, 0.157)
Sc (0.099, 0.901, 0.250)
Sc (0.236, 0.431, 0.415)
Sc (0.431, 0.236, 0.915)
Sc (0.569, 0.764, 0.085)
Sc (0.764, 0.569, 0.585)
Sc (0.901, 0.099, 0.750)

Energy relative to the lowest polymorph listed for this composition: 0.0 meV/atom
Density of states at the Fermi level: 26.07 states/eV per cell
Energy of formation: 0.1115 eV/atom